This record from the Alexandria database describes crystalline ErSc2VO6 at its relaxed geometry. The functional is PBE with a Hubbard U.

Structure (extended XYZ):
```
10
Lattice="-5.3771 -0.5997 -0.0463 -2.4134 -3.0551 3.7565 -3.0514 2.6478 4.0867" Properties=species:S:1:pos:R:3 pbc="T T T"
O -4.7256 -0.3460 1.8183
O -3.8683 0.6206 4.6280
O -6.4334 1.2121 3.4152
O -4.0802 -2.1737 4.3971
O -7.1277 -1.8014 3.4070
O -6.2941 -0.4940 5.7523
Er -2.6365 -0.8826 1.4843
V -8.0410 -1.5294 5.2769
Sc -5.3969 -0.7111 3.7463
Sc -3.0161 2.3481 3.8658
```

Values from the calculation:
Size of the total moment   2.00 μB per formula unit
VASP energy   -8.5864 eV per atom